! CaTi2Mo2 | the Alexandria database | GGA-PBE | relaxed; values from VASP
&SYSTEM
  ibrav = 0, nat = 10, ntyp = 3
/
ATOMIC_SPECIES
Ca 40.08 Ca.upf
Ti 47.87 Ti.upf
Mo 95.94 Mo.upf
CELL_PARAMETERS angstrom
7.914 0.000 0.000
0.000 7.914 0.000
0.000 0.000 3.053
ATOMIC_POSITIONS angstrom
Ca 0.000 0.000 0.000
Ca 3.957 3.957 0.000
Ti 1.102 2.855 1.526
Ti 2.855 6.812 1.526
Ti 5.058 1.102 1.526
Ti 6.812 5.058 1.526
Mo 1.104 5.061 0.000
Mo 2.853 1.104 0.000
Mo 5.061 6.810 0.000
Mo 6.810 2.853 0.000
! SG: P4/mbm
! D(E_F): 14.8 states/eV/cell
! formation energy: 0.32 eV per atom
! calculated volume: 191.2 Å³ per cell